VASP calculation (GGA-PBE) on a relaxed structure of BIrSe2N.

abc: 5.030 5.030 2.758
angles: 90.00 90.00 90.00
Space group P4/mmm (No. 123)
Unique sites:
B 0.000 0.000 0.000 [1 per cell]
Ir 0.500 0.500 0.500 [1 per cell]
Se 0.000 0.500 0.000 [2 per cell]
N 0.000 0.000 0.500 [1 per cell]

DFT total energy (eV per atom): -5.608
Size of the total moment (μB per cell): 0.0